No. 1
This record from Alexandria describes a geometry-optimized PrHo2Mg5 structure. The functional is GGA-PBE.

Cell lengths 5.2837, 5.2837, 8.4772 Å; angles 108.16, 108.16, 90.00 degrees
Positions (direct):
Mg: 0.6228 0.1229 0.2457
Mg: 0.5000 0.5000 0.0000
Mg: 0.1228 0.6229 0.2457
Mg: 0.8772 0.3771 0.7543
Ho: 0.7417 0.7417 0.4834
Ho: 0.2583 0.2583 0.5166
Mg: 0.3772 0.8771 0.7543
Pr: 0.0000 0.0000 0.0000

Summary:
DFT total energy in eV per atom: -2.82
Formation energy in eV per atom: -0.0852
Density of states at the Fermi level in states/eV per atom: 0.72



No. 2
This record from Alexandria describes a geometry-optimized NaGeSb2O8 structure. The functional is GGA-PBE.

Cell lengths 4.7445, 4.7442, 6.3224 Å; angles 90.00, 90.00, 85.90 degrees
Positions (direct):
O: 0.3198 0.3188 0.5000
O: 0.3004 0.2997 0.0000
O: 0.6996 0.7003 0.0000
Sb: 0.5000 0.5000 0.2505
Ge: 0.0000 0.0000 0.0000
O: 0.6802 0.6812 0.5000
Sb: 0.5000 0.5000 0.7495
Na: 0.0000 0.0000 0.5000
O: 0.8040 0.1968 0.7819
O: 0.1960 0.8032 0.2181
O: 0.1960 0.8032 0.7819
O: 0.8040 0.1968 0.2181

Summary:
DFT total energy in eV per atom: -5.77
Raw formation energy in eV/f.u.: -15.35
Density of states at the Fermi level in states/eV per atom: 0.87



No. 3
This record from Alexandria describes a geometry-optimized K2MgBr4 structure. The functional is GGA-PBE.

Cell lengths 7.7097, 7.6255, 9.2032 Å; angles 90.00, 108.13, 90.00 degrees
Positions (direct):
K: 0.2861 0.2500 0.9444
K: 0.7139 0.7500 0.0556
K: 0.2362 0.2500 0.4363
Br: 0.5161 0.0001 0.7452
Br: 0.0676 0.7500 0.3710
Br: 0.4839 0.9999 0.2548
Mg: 0.2585 0.7500 0.1964
Mg: 0.7415 0.2500 0.8036
Br: 0.5161 0.4999 0.7452
Br: 0.9324 0.2500 0.6290
Br: 0.0728 0.7500 0.9201
K: 0.7638 0.7500 0.5637
Br: 0.4839 0.5001 0.2548
Br: 0.9272 0.2500 0.0799

Summary:
DFT total energy in eV per atom: -3.13
Raw formation energy in eV/f.u.: -11.40
Density of states at the Fermi level in states/eV per atom: 0.00



No. 4
This record from Alexandria describes a geometry-optimized LiBe3Nb structure. The functional is GGA-PBE.

Cell lengths 3.7665, 3.7665, 3.7665 Å; angles 90.00, 90.00, 90.00 degrees
Positions (direct):
Li: 0.0000 0.0000 0.0000
Be: 0.5000 0.0000 0.0000
Be: 0.0000 0.0000 0.5000
Be: 0.0000 0.5000 0.0000
Nb: 0.5000 0.5000 0.5000

Summary:
DFT total energy in eV per atom: -4.22
Formation energy in eV per atom: 0.4077
Density of states at the Fermi level in states/eV per atom: 0.15



No. 5
This record from Alexandria describes a geometry-optimized Y3PbO structure. The functional is GGA-PBE.

Cell lengths 27.0124, 8.8496, 8.8496 Å; angles 156.84, 159.77, 20.23 degrees
Positions (direct):
Y: 0.9262 0.2035 0.7965
Pb: 0.7276 0.8686 0.1314
Y: 0.1855 0.4488 0.5512
O: 0.8799 0.8615 0.1385
Y: 0.0738 0.7965 0.2035
Y: 0.5574 0.3032 0.6968
Pb: 0.2725 0.1314 0.8686
Y: 0.8145 0.5512 0.4488
Y: 0.4426 0.6968 0.3032
O: 0.1201 0.1385 0.8615

Summary:
DFT total energy in eV per atom: -6.90
Raw formation energy in eV/f.u.: -6.42
Density of states at the Fermi level in states/eV per atom: 0.76



No. 6
This record from Alexandria describes a geometry-optimized In2HgAsSe2 structure. The functional is GGA-PBE.

Cell lengths 6.6479, 7.1069, 8.6573 Å; angles 114.23, 90.00, 90.00 degrees
Positions (direct):
As: 0.6712 0.7267 0.0000
In: 0.2683 0.1638 0.6597
Se: 0.1820 0.8824 0.3432
In: 0.7683 0.8362 0.3403
In: 0.7683 0.4959 0.6597
Hg: 0.4015 0.9824 0.0000
Hg: 0.9015 0.0176 0.0000
As: 0.1712 0.2733 0.0000
Se: 0.6820 0.4608 0.3432
In: 0.2683 0.5041 0.3403
Se: 0.1820 0.5392 0.6568
Se: 0.6820 0.1176 0.6568

Summary:
DFT total energy in eV per atom: -3.15
Raw formation energy in eV/f.u.: -1.48
Density of states at the Fermi level in states/eV per atom: 0.49



No. 7
This record from Alexandria describes a geometry-optimized Rb6Te2O9 structure. The functional is GGA-PBE.

Cell lengths 8.9334, 8.9334, 11.2028 Å; angles 67.84, 67.84, 92.91 degrees
Positions (direct):
O: 0.9842 0.1153 0.5924
Rb: 0.9984 0.7059 0.0276
Rb: 0.3258 0.0995 0.7628
Rb: 0.6954 0.4983 0.5232
O: 0.4794 0.7378 0.5415
Rb: 0.0995 0.3258 0.2628
O: 0.9060 0.3676 0.7137
O: 0.3676 0.9060 0.2137
O: 0.2259 0.7741 0.7500
O: 0.0940 0.6324 0.2863
Te: 0.1470 0.8530 0.2500
O: 0.1153 0.9842 0.0924
O: 0.2622 0.5206 0.9585
Te: 0.8530 0.1470 0.7500
Rb: 0.6742 0.9005 0.2372
Rb: 0.7059 0.9984 0.5276
Rb: 0.2941 0.0016 0.4724
Te: 0.6258 0.3742 0.2500
O: 0.5206 0.2622 0.4585
O: 0.5822 0.6678 0.7562
Te: 0.3742 0.6258 0.7500
O: 0.6324 0.0940 0.7863
O: 0.3322 0.4178 0.7438
O: 0.6678 0.5822 0.2562
O: 0.7741 0.2259 0.2500
O: 0.0158 0.8847 0.4076
Rb: 0.5017 0.3046 0.9768
Rb: 0.3046 0.5017 0.4768
O: 0.8847 0.0158 0.9076
O: 0.4178 0.3322 0.2438
Rb: 0.4983 0.6954 0.0232
O: 0.7378 0.4794 0.0415
Rb: 0.0016 0.2941 0.9724
Rb: 0.9005 0.6742 0.7372

Summary:
DFT total energy in eV per atom: -4.76
Raw formation energy in eV/f.u.: -24.17



No. 8
This record from Alexandria describes a geometry-optimized Sr3Ce2TaP6 structure. The functional is GGA-PBE.

Cell lengths 7.0445, 7.0445, 7.2889 Å; angles 99.33, 99.33, 120.03 degrees
Site moments in Bohr magnetons follow the coordinates.
Positions (direct):
P: 0.6193 0.9293 0.7882  -0.01
P: 0.9293 0.6193 0.7882  -0.01
Sr: 0.8297 0.1703 0.5000  0.00
P: 0.0707 0.3807 0.2118  -0.01
Ce: 0.6660 0.3340 0.0000  0.29
P: 0.3807 0.0707 0.2118  -0.01
Ta: 0.0000 0.0000 0.0000  0.07
Ce: 0.3340 0.6660 0.0000  0.29
P: 0.2378 0.2378 0.7871  -0.01
Sr: 0.1703 0.8297 0.5000  0.00
Sr: 0.5000 0.5000 0.5000  0.00
P: 0.7622 0.7622 0.2129  -0.01

Summary:
DFT total energy in eV per atom: -6.23
Formation energy in eV per atom: -1.1237
Density of states at the Fermi level in states/eV per atom: 0.64



No. 9
This record from Alexandria describes a geometry-optimized Sc4Ga12Ni structure. The functional is GGA-PBE.

Cell lengths 7.2234, 7.2234, 7.2234 Å; angles 109.47, 109.47, 109.47 degrees
Positions (direct):
Ga: 0.7500 0.5000 0.2500
Ga: 0.7143 0.0000 0.7143
Ga: 0.2500 0.7500 0.5000
Ga: 0.5000 0.7500 0.2500
Ga: 0.2857 0.0000 0.2857
Sc: 0.5000 0.5000 0.5000
Ga: 0.0000 0.7143 0.7143
Ni: 0.0000 0.0000 0.0000
Sc: 0.0000 0.5000 0.0000
Ga: 0.2500 0.5000 0.7500
Ga: 0.7500 0.2500 0.5000
Sc: 0.5000 0.0000 0.0000
Sc: 0.0000 0.0000 0.5000
Ga: 0.0000 0.2857 0.2857
Ga: 0.2857 0.2857 0.0000
Ga: 0.7143 0.7143 0.0000
Ga: 0.5000 0.2500 0.7500

Summary:
DFT total energy in eV per atom: -4.48
Formation energy in eV per atom: -0.5097
Density of states at the Fermi level in states/eV per atom: 0.11



No. 10
This record from Alexandria describes a geometry-optimized Pa2TiSi3Ir4 structure. The functional is GGA-PBE.

Cell lengths 4.0620, 4.0620, 10.4353 Å; angles 90.00, 90.00, 90.00 degrees
Positions (direct):
Ir: 0.5000 0.5000 0.0000
Ir: 0.0000 0.0000 0.0000
Si: 0.5000 0.0000 0.8715
Si: 0.0000 0.0000 0.5000
Pa: 0.0000 0.5000 0.7574
Ir: 0.0000 0.5000 0.3572
Pa: 0.5000 0.0000 0.2426
Ti: 0.5000 0.5000 0.5000
Si: 0.0000 0.5000 0.1285
Ir: 0.5000 0.0000 0.6428

Summary:
DFT total energy in eV per atom: -8.83
Raw formation energy in eV/f.u.: -9.73
Density of states at the Fermi level in states/eV per atom: 1.14



No. 11
This record from Alexandria describes a geometry-optimized BiSbO3 structure. The functional is GGA-PBE.

Cell lengths 4.1723, 4.1723, 4.1723 Å; angles 90.00, 90.00, 90.00 degrees
Positions (direct):
O: 0.0000 0.5000 0.0000
Sb: 0.0000 0.0000 0.0000
O: 0.5000 0.0000 0.0000
O: 0.0000 0.0000 0.5000
Bi: 0.5000 0.5000 0.5000

Summary:
DFT total energy in eV per atom: -5.35
Raw formation energy in eV/f.u.: -3.85
Density of states at the Fermi level in states/eV per atom: 0.60



No. 12
This record from Alexandria describes a geometry-optimized La2Ni17 structure. The functional is GGA-PBE.

Cell lengths 6.3277, 6.3277, 6.3277 Å; angles 83.24, 83.24, 83.24 degrees
Site moments in Bohr magnetons follow the coordinates.
Positions (direct):
Ni: 0.7124 0.2876 0.0000  0.47
Ni: 0.0000 0.2876 0.7124  0.47
La: 0.3408 0.3408 0.3408  -0.09
Ni: 0.3425 0.3425 0.8490  0.44
Ni: 0.7124 0.0000 0.2876  0.47
Ni: 0.0000 0.0000 0.5000  0.53
Ni: 0.0981 0.0981 0.0981  0.46
Ni: 0.0000 0.5000 0.0000  0.53
Ni: 0.6575 0.6575 0.1510  0.44
Ni: 0.3425 0.8490 0.3425  0.44
Ni: 0.2876 0.7124 0.0000  0.47
La: 0.6592 0.6592 0.6592  -0.09
Ni: 0.6575 0.1510 0.6575  0.44
Ni: 0.8490 0.3425 0.3425  0.44
Ni: 0.5000 0.0000 0.0000  0.53
Ni: 0.1510 0.6575 0.6575  0.44
Ni: 0.2876 0.0000 0.7124  0.47
Ni: 0.9019 0.9019 0.9019  0.46
Ni: 0.0000 0.7124 0.2876  0.47

Summary:
DFT total energy in eV per atom: -5.85
Formation energy in eV per atom: -0.1582
Density of states at the Fermi level in states/eV per atom: 1.38



No. 13
This record from Alexandria describes a geometry-optimized CdTcBSe2 structure. The functional is GGA-PBE.

Cell lengths 4.7563, 5.3787, 4.7563 Å; angles 90.00, 90.00, 90.00 degrees
Positions (direct):
B: 0.5000 0.5000 0.5000
Se: 0.5000 0.0000 0.0000
Tc: 0.0000 0.0000 0.0000
Cd: 0.0000 0.5000 0.0000
Se: 0.0000 0.0000 0.5000

Summary:
DFT total energy in eV per atom: -3.83
Raw formation energy in eV/f.u.: 5.77
Density of states at the Fermi level in states/eV per atom: 1.17



No. 14
This record from Alexandria describes a geometry-optimized ErIn2IO8 structure. The functional is GGA-PBE.

Cell lengths 4.9237, 4.9238, 6.6773 Å; angles 90.00, 90.00, 91.07 degrees
Positions (direct):
Er: 0.0000 0.0000 0.5000
O: 0.1818 0.8179 0.7885
O: 0.8182 0.1821 0.7885
O: 0.1818 0.8179 0.2115
In: 0.5000 0.5000 0.7484
O: 0.2832 0.2828 0.0000
O: 0.6902 0.6912 0.5000
O: 0.3098 0.3088 0.5000
O: 0.7168 0.7172 0.0000
O: 0.8182 0.1821 0.2115
In: 0.5000 0.5000 0.2516
I: 0.0000 0.0000 0.0000

Summary:
DFT total energy in eV per atom: -5.74
Raw formation energy in eV/f.u.: -17.58
Density of states at the Fermi level in states/eV per atom: 0.12



No. 15
This record from Alexandria describes a geometry-optimized ZrHgB structure. The functional is GGA-PBE.

Cell lengths 11.2546, 3.2595, 5.6070 Å; angles 90.00, 104.33, 90.00 degrees
Positions (direct):
Zr: 0.6610 0.5000 0.7548
Hg: 0.4348 0.0000 0.8006
B: 0.8155 0.5000 0.1649
B: 0.8154 0.0000 0.9981
Zr: 0.6610 0.0000 0.2548
B: 0.8155 0.0000 0.6649
B: 0.8154 0.5000 0.4981
Zr: 0.9699 0.0000 0.4083
Hg: 0.4348 0.5000 0.3006
Hg: 0.1962 0.0000 0.1780
Zr: 0.9699 0.5000 0.9083
Hg: 0.1962 0.5000 0.6780

Summary:
DFT total energy in eV per atom: -5.72
Formation energy in eV per atom: -0.5478
Density of states at the Fermi level in states/eV per atom: 0.51



No. 16
This record from Alexandria describes a geometry-optimized AlIn2CN structure. The functional is GGA-PBE.

Cell lengths 6.0215, 2.6019, 6.0215 Å; angles 90.00, 90.00, 90.00 degrees
Positions (direct):
Al: 0.5000 0.5000 0.5000
C: 0.0000 0.0000 0.0000
In: 0.0000 0.0000 0.5000
N: 0.0000 0.5000 0.0000
In: 0.5000 0.0000 0.0000

Summary:
DFT total energy in eV per atom: -4.48
Raw formation energy in eV/f.u.: 4.36
Density of states at the Fermi level in states/eV per atom: 0.32



No. 17
This record from Alexandria describes a geometry-optimized HfBi3Te structure. The functional is GGA-PBE.

Cell lengths 5.6308, 5.6308, 5.6308 Å; angles 90.00, 90.00, 90.00 degrees
Positions (direct):
Bi: 0.0000 0.5000 0.0000
Te: 0.5000 0.5000 0.5000
Hf: 0.0000 0.0000 0.0000
Bi: 0.5000 0.0000 0.0000
Bi: 0.0000 0.0000 0.5000

Summary:
DFT total energy in eV per atom: -4.58
Raw formation energy in eV/f.u.: 1.85
Density of states at the Fermi level in states/eV per atom: 1.34



No. 18
This record from Alexandria describes a geometry-optimized LaAl6Rh3 structure. The functional is GGA-PBE.

Cell lengths 6.6017, 7.0087, 8.1105 Å; angles 112.92, 90.00, 90.00 degrees
Positions (direct):
Al: 0.8061 0.1933 0.7433
Rh: 0.1700 0.2074 0.4279
Rh: 0.8300 0.7926 0.5721
La: 0.5000 0.5000 0.5000
Rh: 0.0000 0.5000 0.0000
Al: 0.1712 0.9181 0.6085
Al: 0.3061 0.3067 0.7567
Al: 0.8288 0.0819 0.3915
Rh: 0.6700 0.2926 0.0721
Al: 0.3288 0.4181 0.1085
Rh: 0.3300 0.7074 0.9279
Al: 0.4809 0.0416 0.1825
Al: 0.6939 0.6933 0.2433
La: 0.0000 0.0000 0.0000
Al: 0.5191 0.9584 0.8175
Al: 0.6712 0.5819 0.8915
Al: 0.1939 0.8067 0.2567
Al: 0.0191 0.5416 0.6825
Rh: 0.5000 0.0000 0.5000
Al: 0.9809 0.4584 0.3175

Summary:
DFT total energy in eV per atom: -5.64
Formation energy in eV per atom: -0.6945
Density of states at the Fermi level in states/eV per atom: 0.45



No. 19
This record from Alexandria describes a geometry-optimized KTlInRe2 structure. The functional is GGA-PBE.

Cell lengths 4.8526, 5.5705, 4.8526 Å; angles 90.00, 90.00, 90.00 degrees
Site moments in Bohr magnetons follow the coordinates.
Positions (direct):
In: 0.5000 0.5000 0.5000  0.01
Tl: 0.0000 0.5000 0.0000  -0.04
K: 0.0000 0.0000 0.0000  -0.03
Re: 0.0000 0.0000 0.5000  1.36
Re: 0.5000 0.0000 0.0000  1.56

Summary:
DFT total energy in eV per atom: -3.19
Formation energy in eV per atom: 3.0334
Density of states at the Fermi level in states/eV per atom: 1.14



No. 20
This record from Alexandria describes a geometry-optimized Al3Au5 structure. The functional is GGA-PBE.

Cell lengths 7.2982, 7.2982, 6.3095 Å; angles 90.00, 90.00, 120.00 degrees
Positions (direct):
Au: 0.3333 0.6667 0.0000
Al: 0.5871 0.0000 0.2500
Al: 0.5871 0.5871 0.7500
Al: 0.0000 0.4129 0.7500
Al: 0.0000 0.5871 0.2500
Au: 0.2305 0.0000 0.2500
Au: 0.7695 0.7695 0.2500
Al: 0.4129 0.0000 0.7500
Au: 0.3333 0.6667 0.5000
Au: 0.6667 0.3333 0.5000
Au: 0.7695 0.0000 0.7500
Au: 0.0000 0.7695 0.7500
Au: 0.6667 0.3333 0.0000
Au: 0.2305 0.2305 0.7500
Al: 0.4129 0.4129 0.2500
Au: 0.0000 0.2305 0.2500

Summary:
DFT total energy in eV per atom: -3.67
Formation energy in eV per atom: -0.2137
Density of states at the Fermi level in states/eV per atom: 0.25



Number 1: mass density 4.63 g cm⁻³, size of the total moment 0.000 μB per formula unit. Number 2: mass density 5.46 g cm⁻³, size of the total moment 0.220 μB per formula unit. Number 3: mass density 2.73 g cm⁻³, size of the total moment 0.000 μB per formula unit. Number 4: mass density 3.94 g cm⁻³, size of the total moment 0.000 μB per formula unit. Number 5: mass density 6.81 g cm⁻³, size of the total moment 0.000 μB per formula unit. Number 6: mass density 5.90 g cm⁻³, size of the total moment 0.000 μB per formula unit. Number 7: mass density 4.05 g cm⁻³, size of the total moment 0.002 μB per formula unit. Number 8: mass density 5.10 g cm⁻³, size of the total moment 0.680 μB per formula unit. Number 9: mass density 6.15 g cm⁻³, size of the total moment 0.000 μB per formula unit. Number 10: mass density 13.15 g cm⁻³, size of the total moment 0.000 μB per formula unit. Number 11: mass density 8.66 g cm⁻³, size of the total moment 0.000 μB per formula unit. Number 12: mass density 8.53 g cm⁻³, size of the total moment 7.149 μB per formula unit. Number 13: mass density 5.17 g cm⁻³, size of the total moment 0.001 μB per formula unit. Number 14: mass density 6.69 g cm⁻³, size of the total moment 0.000 μB per formula unit. Number 15: mass density 10.09 g cm⁻³, size of the total moment 0.000 μB per formula unit. Number 16: mass density 4.97 g cm⁻³, size of the total moment 0.000 μB per formula unit. Number 17: mass density 8.68 g cm⁻³, size of the total moment 0.000 μB per formula unit. Number 18: mass density 5.86 g cm⁻³, size of the total moment 0.000 μB per formula unit. Number 19: mass density 9.25 g cm⁻³, size of the total moment 3.267 μB per formula unit. Number 20: mass density 12.16 g cm⁻³, size of the total moment 0.000 μB per formula unit.